(1)
Tl2CoPb meta-GGA SCAN PBEsol geometry; electronic total energy = -58.845 eV/atom
1.0
-2.8949 -2.6223 1.8394
3.1478 -1.8703 2.2877
-0.6715 3.2578 3.5875
Co Tl Pb
1 2 1
direct
0.5000 0.5000 0.5000
0.0000 0.5000 0.0000
0.5000 0.0000 0.0000
0.0000 0.0000 0.5000

---

(2)
TlCoPb2 meta-GGA SCAN PBEsol geometry; electronic total energy = -60.000 eV/atom
1.0
-3.0771 1.0542 -0.2821
-0.4371 -2.0014 -2.5423
-2.6201 -6.2172 5.3449
Pb Co Tl
2 1 1
direct
0.0000 0.0000 0.1886
0.0000 0.0000 0.8114
0.5000 0.5000 0.0000
0.5000 0.5000 0.5000

---

(3)
CoPbW2 meta-GGA SCAN PBEsol geometry; electronic total energy = -57.178 eV/atom
1.0
2.8328 -0.0046 0.0000
-1.0517 4.9999 0.0000
-0.8905 -2.4977 4.5751
W Pb Co
2 1 1
direct
0.0000 0.0000 0.5000
0.5000 0.5000 0.5000
0.0000 0.5000 0.0000
0.5000 0.0000 0.0000

---

(4)
CoPbW2 meta-GGA SCAN PBEsol geometry; electronic total energy = -57.118 eV/atom
1.0
-2.5293 0.8201 -1.1054
-1.9527 -1.9787 -0.7507
-5.0726 -0.0546 7.8160
W Co Pb
2 1 1
direct
0.2383 0.2383 0.2850
0.7617 0.7617 0.7150
0.5000 0.5000 0.5000
0.0000 0.0000 0.0000

---

Number 1: M_tot 2.06 μB per formula unit. Number 2: M_tot 1.34 μB per formula unit. Number 3: M_tot 1.77 μB per formula unit. Number 4: M_tot 1.08 μB per formula unit.